# 1
Li3Sm2HoSe6 after structural relaxation. Source: Alexandria, functional GGA-PBE.

```
Li3Sm2HoSe6
1.0
3.570 -6.184 0.000
3.570 6.184 0.000
-2.379 0.000 6.512
Li Sm Ho Se
3 2 1 6
direct
0.000 0.000 0.000
0.335 0.665 0.000
0.665 0.335 0.000
0.167 0.833 0.500
0.833 0.167 0.500
0.500 0.500 0.500
0.088 0.415 0.244
0.258 0.258 0.755
0.415 0.088 0.244
0.585 0.912 0.756
0.742 0.742 0.245
0.912 0.585 0.756
```

## Properties
Energy relative to the elements, uncorrected, eV per atom: -1.683
M_tot, μB/cell: 0.00
Energy, eV/atom: -5.07
Space group: C2/m

***

# 2
Li4Sm3HoSe8 after structural relaxation. Source: Alexandria, functional GGA-PBE.

```
Li4Sm3HoSe8
1.0
4.130 2.385 6.516
-4.130 2.385 6.516
0.000 -4.769 6.516
Li Sm Ho Se
4 3 1 8
direct
0.000 0.000 0.000
0.000 0.500 0.500
0.500 0.000 0.500
0.500 0.500 0.000
0.000 0.000 0.500
0.000 0.500 0.000
0.500 0.000 0.000
0.500 0.500 0.500
0.251 0.251 0.742
0.251 0.742 0.251
0.253 0.253 0.253
0.258 0.749 0.749
0.742 0.251 0.251
0.747 0.747 0.747
0.749 0.258 0.749
0.749 0.749 0.258
```

## Properties
Energy relative to the elements, uncorrected, eV per atom: -1.681
M_tot, μB/cell: 0.00
Energy, eV/atom: -5.07
Space group: R-3m

***

# 3
LiSm2HoSe5 after structural relaxation. Source: Alexandria, functional GGA-PBE.

```
LiSm2HoSe5
1.0
2.052 -8.581 0.000
2.052 8.581 0.000
0.000 0.000 12.406
Li Sm Ho Se
2 4 2 10
direct
0.014 0.986 0.500
0.986 0.014 0.000
0.375 0.625 0.314
0.393 0.607 0.704
0.607 0.393 0.204
0.625 0.375 0.814
0.304 0.696 0.021
0.696 0.304 0.521
0.000 0.000 0.303
0.000 0.000 0.803
0.138 0.862 0.017
0.192 0.808 0.361
0.215 0.785 0.680
0.453 0.547 0.092
0.547 0.453 0.592
0.785 0.215 0.180
0.808 0.192 0.861
0.862 0.138 0.517
```

## Properties
Energy relative to the elements, uncorrected, eV per atom: -1.734
M_tot, μB/cell: 0.00
Energy, eV/atom: -5.44
Space group: Cmc2_1

***

# 4
LiSmHo4Se8 after structural relaxation. Source: Alexandria, functional GGA-PBE.

```
LiSmHo4Se8
1.0
4.169 2.407 6.884
-4.169 2.407 6.884
0.000 -4.814 6.884
Li Sm Ho Se
1 1 4 8
direct
0.000 0.000 0.000
0.630 0.630 0.630
0.110 0.631 0.631
0.251 0.251 0.251
0.631 0.110 0.631
0.631 0.631 0.110
0.380 0.380 0.852
0.380 0.852 0.380
0.384 0.384 0.384
0.390 0.874 0.874
0.852 0.380 0.380
0.869 0.869 0.869
0.874 0.390 0.874
0.874 0.874 0.390
```

## Properties
Energy relative to the elements, uncorrected, eV per atom: -1.774
M_tot, μB/cell: 0.00
Energy, eV/atom: -5.55
Space group: R3m

***

# 5
Li2HoSnSe4 after structural relaxation. Source: Alexandria, functional GGA-PBE.

```
Li2HoSnSe4
1.0
6.906 0.000 0.000
0.000 4.013 0.000
-2.423 0.000 6.633
Li Ho Sn Se
2 1 1 4
direct
0.000 0.000 0.000
0.000 0.500 0.500
0.500 0.000 0.500
0.500 0.500 0.000
0.242 0.000 0.744
0.247 0.500 0.247
0.753 0.500 0.753
0.758 0.000 0.256
```

## Properties
Energy relative to the elements, uncorrected, eV per atom: -1.185
M_tot, μB/cell: 0.00
Energy, eV/atom: -4.48
Space group: P2/m

***

# 6
Li4Ho3SnSe8 after structural relaxation. Source: Alexandria, functional GGA-PBE.

```
Li4Ho3SnSe8
1.0
4.055 2.341 6.489
-4.055 2.341 6.489
0.000 -4.682 6.489
Li Ho Sn Se
4 3 1 8
direct
0.000 0.000 0.000
0.000 0.500 0.500
0.500 0.000 0.500
0.500 0.500 0.000
0.000 0.000 0.500
0.000 0.500 0.000
0.500 0.000 0.000
0.500 0.500 0.500
0.249 0.249 0.749
0.249 0.749 0.249
0.251 0.251 0.251
0.251 0.751 0.751
0.749 0.249 0.249
0.749 0.749 0.749
0.751 0.251 0.751
0.751 0.751 0.251
```

## Properties
Energy relative to the elements, uncorrected, eV per atom: -1.438
M_tot, μB/cell: 0.00
Energy, eV/atom: -4.77
Space group: R-3m